1.
Entry from Alexandria via LeMat-Bulk: a relaxed SnBRuRh crystal (PBE-GGA).

Lattice parameters (Å, degrees): 2.916 2.989 13.094 90.00 90.00 90.00
Sites, in units of the cell vectors:
Ru 0.000 0.500 0.947
Ru 0.500 0.000 0.447
B 0.500 0.000 0.890
B 0.000 0.500 0.390
Sn 0.500 0.500 0.125
Sn 0.000 0.000 0.625
Rh 0.000 0.000 0.263
Rh 0.500 0.500 0.763

Calculated values
The calculation puts the volume at 114.14 Å³ per cell. For the formation energy, the calculation gives -0.1826 eV per atom. For the distance to the lowest polymorph of the same formula, the calculation gives 12 kJ/mol of formula units. The value obtained for the theoretical density is 9.70 Mg/m³.

2.
Entry from Alexandria via LeMat-Bulk: a relaxed Tb3HoPu2S6 crystal (PBE-GGA).

Lattice parameters (Å, degrees): 6.793 6.793 6.825 99.53 99.53 120.02
Site moments in Bohr magnetons follow the coordinates.
Sites, in units of the cell vectors:
Pu 0.333 0.667 0.000  5.34
Pu 0.667 0.333 0.000  5.34
S 0.917 0.586 0.751  -0.04
S 0.586 0.917 0.751  -0.04
S 0.753 0.753 0.251  -0.04
S 0.083 0.414 0.249  -0.04
S 0.247 0.247 0.749  -0.04
S 0.414 0.083 0.249  -0.04
Tb 0.167 0.833 0.500  0.02
Tb 0.833 0.167 0.500  0.02
Tb 0.500 0.500 0.500  0.02
Ho 0.000 0.000 0.000  0.08

Calculated values
The calculation puts the volume at 257.32 Å³ per cell. The uncorrected formation energy is -1.948 eV/atom. The value obtained for the theoretical density is 8.53 Mg/m³.

3.
Entry from Alexandria via LeMat-Bulk: a relaxed PaInFeCu crystal (PBE-GGA).

Lattice parameters (Å, degrees): 4.684 4.684 4.684 60.00 60.00 60.00
Site moments in Bohr magnetons follow the coordinates.
Sites, in units of the cell vectors:
Pa 0.250 0.250 0.250  -0.37
Cu 0.000 0.000 0.000  0.05
In 0.750 0.750 0.750  0.00
Fe 0.500 0.500 0.500  1.72

Calculated values
The calculation puts the volume at 72.65 Å³ per cell. For the formation energy, the calculation gives 0.0585 eV per atom. The value obtained for the theoretical density is 10.63 Mg/m³.